Entry 1:
VASP calculation (PBE) on crystalline Zr2IrPt8 at its relaxed geometry. Values from VASP.

Calculated values
DFT formation energy = -187.7 meV/atom
Fermi-level density of states = 8.93 states/eV per cell
symmetry = C2/m, No. 12

The structure in Quantum ESPRESSO input format:
```
&SYSTEM
  ibrav = 0, nat = 11, ntyp = 3
/
ATOMIC_SPECIES
Pt 195.08 Pt.upf
Ir 192.22 Ir.upf
Zr 91.22 Zr.upf
CELL_PARAMETERS angstrom
4.917 0.917 1.530
2.197 7.061 2.328
1.790 0.577 7.521
ATOMIC_POSITIONS crystal
Pt 0.769 0.863 0.395
Pt 0.207 0.534 0.534
Pt 0.376 0.192 0.192
Pt 0.231 0.605 0.137
Pt 0.624 0.808 0.808
Pt 0.231 0.137 0.605
Pt 0.793 0.466 0.466
Pt 0.769 0.395 0.863
Ir 0.000 0.000 0.000
Zr 0.226 0.735 0.735
Zr 0.774 0.265 0.265
```

Entry 2:
VASP calculation (PBE) on crystalline TcHgRh2 at its relaxed geometry. Values from VASP.

Calculated values
DFT formation energy = 489.0 meV/atom
Fermi-level density of states = 8.06 states/eV per cell
symmetry = F-43m, No. 216

The structure in Quantum ESPRESSO input format:
```
&SYSTEM
  ibrav = 0, nat = 4, ntyp = 3
/
ATOMIC_SPECIES
Rh 102.91 Rh.upf
Hg 200.59 Hg.upf
Tc 98.00 Tc.upf
CELL_PARAMETERS angstrom
-2.978 -1.884 -2.774
1.125 -0.846 -4.258
0.576 -4.232 -1.369
ATOMIC_POSITIONS crystal
Rh 0.750 0.750 0.750
Rh 0.000 0.000 0.000
Hg 0.500 0.500 0.500
Tc 0.250 0.250 0.250
```

Entry 3:
VASP calculation (PBE) on crystalline MnAlC2 at its relaxed geometry. Values from VASP.

Calculated values
DFT formation energy = 424.4 meV/atom
Fermi-level density of states = 4.28 states/eV per cell
symmetry = I-42d, No. 122

The structure in Quantum ESPRESSO input format:
```
&SYSTEM
  ibrav = 0, nat = 8, ntyp = 3
/
ATOMIC_SPECIES
Mn 54.94 Mn.upf
C 12.01 C.upf
Al 26.98 Al.upf
CELL_PARAMETERS angstrom
4.513 0.000 0.000
0.000 4.513 0.000
2.257 2.257 4.481
ATOMIC_POSITIONS crystal
Mn 0.000 0.000 0.000
Mn 0.750 0.250 0.500
C 0.096 0.625 0.250
C 0.375 0.346 0.750
C 0.875 0.904 0.750
C 0.654 0.125 0.250
Al 0.250 0.750 0.500
Al 0.500 0.500 0.000
```

Entry 4:
VASP calculation (PBE) on crystalline CsAcHg2O4 at its relaxed geometry. Values from VASP.

Calculated values
Fermi-level density of states = 0.00 states/eV per cell
formation energy from raw total energies = -1.40 eV per atom
symmetry = I222, No. 23

The structure in Quantum ESPRESSO input format:
```
&SYSTEM
  ibrav = 0, nat = 8, ntyp = 4
/
ATOMIC_SPECIES
O 16.00 O.upf
Hg 200.59 Hg.upf
Cs 132.91 Cs.upf
Ac 227.00 Ac.upf
CELL_PARAMETERS angstrom
6.458 0.000 0.000
3.229 5.385 0.193
3.229 0.634 5.351
ATOMIC_POSITIONS crystal
O 0.922 0.472 0.157
O 0.450 0.157 0.472
O 0.078 0.843 0.528
O 0.550 0.528 0.843
Hg 0.199 0.301 0.301
Hg 0.801 0.699 0.699
Cs 0.000 0.000 0.000
Ac 0.500 0.500 0.500
```

Entry 5:
VASP calculation (PBE) on crystalline MgReIr at its relaxed geometry. Values from VASP.

Calculated values
DFT formation energy = 202.2 meV/atom
Fermi-level density of states = 4.73 states/eV per cell
symmetry = P6_3/mmc, No. 194
E above lowest polymorph = 376 meV/atom

The structure in Quantum ESPRESSO input format:
```
&SYSTEM
  ibrav = 0, nat = 6, ntyp = 3
/
ATOMIC_SPECIES
Ir 192.22 Ir.upf
Re 186.21 Re.upf
Mg 24.30 Mg.upf
CELL_PARAMETERS angstrom
3.861 -2.229 0.000
0.000 4.458 0.000
0.000 0.000 5.554
ATOMIC_POSITIONS crystal
Ir 0.667 0.333 0.250
Ir 0.333 0.667 0.750
Re 0.333 0.667 0.250
Re 0.667 0.333 0.750
Mg 0.000 0.000 0.500
Mg 0.000 0.000 0.000
```

Entry 6:
VASP calculation (PBE) on crystalline AcNdTcN4 at its relaxed geometry. Values from VASP.

Calculated values
Fermi-level density of states = 3.83 states/eV per cell
formation energy from raw total energies = -0.74 eV per atom
symmetry = I4mm, No. 107

The structure in Quantum ESPRESSO input format:
```
&SYSTEM
  ibrav = 0, nat = 7, ntyp = 4
/
ATOMIC_SPECIES
Ac 227.00 Ac.upf
N 14.01 N.upf
Tc 98.00 Tc.upf
Nd 144.24 Nd.upf
CELL_PARAMETERS angstrom
3.929 0.000 0.000
0.000 3.929 0.000
-1.964 -1.964 6.534
ATOMIC_POSITIONS crystal
Ac 0.647 0.647 0.294
N 0.497 0.997 0.994
N 0.169 0.169 0.339
N 0.997 0.497 0.994
N 0.838 0.838 0.676
Tc 0.996 0.996 0.992
Nd 0.356 0.356 0.711
```

Entry 7:
VASP calculation (PBE) on crystalline CaNi2Sn7 at its relaxed geometry. Values from VASP.

Calculated values
DFT formation energy = -80.5 meV/atom
Fermi-level density of states = 3.82 states/eV per cell
symmetry = Cmmm, No. 65

The structure in Quantum ESPRESSO input format:
```
&SYSTEM
  ibrav = 0, nat = 10, ntyp = 3
/
ATOMIC_SPECIES
Sn 118.71 Sn.upf
Ni 58.69 Ni.upf
Ca 40.08 Ca.upf
CELL_PARAMETERS angstrom
4.638 0.000 0.000
0.000 8.032 0.081
0.000 -3.471 7.244
ATOMIC_POSITIONS crystal
Sn 0.000 0.753 0.247
Sn 0.000 0.247 0.753
Sn 0.500 0.941 0.659
Sn 0.500 0.659 0.941
Sn 0.500 0.341 0.059
Sn 0.500 0.500 0.500
Sn 0.500 0.059 0.341
Ni 0.500 0.682 0.318
Ni 0.500 0.318 0.682
Ca 0.000 0.000 0.000
```

Entry 8:
VASP calculation (PBE) on crystalline Zn7AgAu2 at its relaxed geometry. Values from VASP.

Calculated values
DFT formation energy = 44.4 meV/atom
Fermi-level density of states = 1.96 states/eV per cell
symmetry = Cmmm, No. 65
E above lowest polymorph = 114 meV/atom

The structure in Quantum ESPRESSO input format:
```
&SYSTEM
  ibrav = 0, nat = 10, ntyp = 3
/
ATOMIC_SPECIES
Zn 65.41 Zn.upf
Au 196.97 Au.upf
Ag 107.87 Ag.upf
CELL_PARAMETERS angstrom
4.593 0.000 0.000
0.000 7.220 -0.322
0.000 -3.545 6.298
ATOMIC_POSITIONS crystal
Zn 0.500 0.714 0.922
Zn 0.000 0.790 0.210
Zn 0.500 0.286 0.078
Zn 0.000 0.210 0.790
Zn 0.500 0.500 0.500
Zn 0.500 0.922 0.714
Zn 0.500 0.078 0.286
Au 0.500 0.706 0.294
Au 0.500 0.294 0.706
Ag 0.000 0.000 0.000
```

Entry 9:
VASP calculation (PBE) on crystalline NdZrAgAu at its relaxed geometry. Values from VASP.

Calculated values
DFT formation energy = -267.7 meV/atom
Fermi-level density of states = 4.54 states/eV per cell
symmetry = F-43m, No. 216

The structure in Quantum ESPRESSO input format:
```
&SYSTEM
  ibrav = 0, nat = 4, ntyp = 4
/
ATOMIC_SPECIES
Au 196.97 Au.upf
Nd 144.24 Nd.upf
Ag 107.87 Ag.upf
Zr 91.22 Zr.upf
CELL_PARAMETERS angstrom
5.081 0.000 0.000
2.541 4.400 0.000
2.541 1.467 4.149
ATOMIC_POSITIONS crystal
Au 0.750 0.750 0.750
Nd 0.000 0.000 0.000
Ag 0.250 0.250 0.250
Zr 0.500 0.500 0.500
```

Entry 10:
VASP calculation (PBE) on crystalline UPaSbN2 at its relaxed geometry. Values from VASP.

Calculated values
Fermi-level density of states = 6.13 states/eV per cell
formation energy from raw total energies = -1.35 eV per atom
symmetry = I4mm, No. 107

The structure in Quantum ESPRESSO input format:
```
&SYSTEM
  ibrav = 0, nat = 5, ntyp = 4
/
ATOMIC_SPECIES
Pa 231.04 Pa.upf
N 14.01 N.upf
Sb 121.76 Sb.upf
U 238.03 U.upf
CELL_PARAMETERS angstrom
3.905 0.000 0.000
0.000 3.905 0.000
-1.952 -1.952 6.204
ATOMIC_POSITIONS crystal
Pa 0.843 0.843 0.686
N 0.750 0.250 0.500
N 0.250 0.750 0.500
Sb 0.500 0.500 0.001
U 0.156 0.156 0.312
```

Entry 11:
VASP calculation (PBE) on crystalline Mo3W at its relaxed geometry. Values from VASP.

Calculated values
DFT formation energy = 361.6 meV/atom
Fermi-level density of states = 6.45 states/eV per cell
symmetry = C2/m, No. 12
E above lowest polymorph = 381 meV/atom

The structure in Quantum ESPRESSO input format:
```
&SYSTEM
  ibrav = 0, nat = 8, ntyp = 2
/
ATOMIC_SPECIES
Mo 95.94 Mo.upf
W 183.84 W.upf
CELL_PARAMETERS angstrom
5.134 -0.507 -0.155
-2.848 4.302 -0.155
-0.894 -1.484 6.740
ATOMIC_POSITIONS crystal
Mo 0.168 0.504 0.673
Mo 0.169 0.169 0.337
Mo 0.832 0.496 0.327
Mo 0.496 0.832 0.327
Mo 0.504 0.168 0.673
Mo 0.831 0.831 0.663
W 0.837 0.163 0.000
W 0.163 0.837 0.000
```

Entry 12:
VASP calculation (PBE) on crystalline Tc2BrO at its relaxed geometry. Values from VASP.

Calculated values
Fermi-level density of states = 4.56 states/eV per cell
formation energy from raw total energies = 0.77 eV per atom
symmetry = Fm-3m, No. 225
E above lowest polymorph = 635 meV/atom

The structure in Quantum ESPRESSO input format:
```
&SYSTEM
  ibrav = 0, nat = 4, ntyp = 3
/
ATOMIC_SPECIES
Tc 98.00 Tc.upf
Br 79.90 Br.upf
O 16.00 O.upf
CELL_PARAMETERS angstrom
0.000 2.971 2.971
2.971 0.000 2.971
2.971 2.971 0.000
ATOMIC_POSITIONS crystal
Tc 0.750 0.750 0.750
Tc 0.250 0.250 0.250
Br 0.500 0.500 0.500
O 0.000 0.000 0.000
```